--- A ---
A plane-wave DFT calculation with PBE was carried out for a geometry-optimized BiSb2F2 structure.

abc: 7.9818 7.9818 3.1944
angles: 90.00 90.00 90.00
Last column: nearest neighbours and their distance in Å.
Atoms (fractional coordinates):
Sb1 0.8701 0.3701 0.5000  6 F 2.81-2.87, 1 Sb 2.93
F1 0.1586 0.3414 0.0000  6 Sb 2.81-2.87, 2 Bi 3.00
Sb2 0.1299 0.6299 0.5000  6 F 2.81-2.87, 1 Sb 2.93
F2 0.6586 0.1586 0.0000  6 Sb 2.81-2.87, 2 Bi 3.00
F3 0.3414 0.8414 0.0000  6 Sb 2.81-2.87, 2 Bi 3.00
Sb3 0.6299 0.8701 0.5000  6 F 2.81-2.87, 1 Sb 2.93
F4 0.8414 0.6586 0.0000  6 Sb 2.81-2.87, 2 Bi 3.00
Sb4 0.3701 0.1299 0.5000  6 F 2.81-2.87, 1 Sb 2.93
Bi1 0.0000 0.0000 0.0000  4 F 3.00, 2 Bi 3.19
Bi2 0.5000 0.5000 0.0000  4 F 3.00, 2 Bi 3.19

SG: P4/mbm
Magnetic moment in μB per formula unit: 0.0

---

--- B ---
A plane-wave DFT calculation with PBE was carried out for a geometry-optimized BiSb2F2 structure.

abc: 4.8825 4.8825 5.6838
angles: 64.56 64.56 90.00
Last column: nearest neighbours and their distance in Å.
Atoms (fractional coordinates):
Sb1 0.7500 0.2500 0.5000  4 F 2.59
F1 0.3455 0.3455 0.3090  4 Sb 2.59, 1 F 2.79
Bi1 0.0000 0.0000 0.0000  2 F 3.12, 8 Sb 3.33
Sb2 0.2500 0.7500 0.5000  4 F 2.59
F2 0.6545 0.6545 0.6910  4 Sb 2.59, 1 F 2.79

SG: I4/mmm
Magnetic moment in μB per formula unit: 0.0

---

It comes down to B, which is 0.039 eV/atom more stable than the next structure.

---

--- A ---
A plane-wave DFT calculation with PBE was carried out for a geometry-optimized Bi2SbF structure.

abc: 5.3940 5.3940 9.1558
angles: 72.87 72.87 90.00
Last column: nearest neighbours and their distance in Å.
Atoms (fractional coordinates):
Sb1 0.0000 0.0000 0.0000  4 Bi 3.08
Sb2 0.7500 0.2500 0.5000  4 Bi 3.08
Bi1 0.2136 0.6250 0.2500  2 F 2.63
Bi2 0.8750 0.7864 0.7500  2 F 2.63
Bi3 0.3750 0.4636 0.7500  2 F 2.63
F1 0.5000 0.5000 0.0000  4 Bi 2.63
F2 0.2500 0.7500 0.5000  4 Bi 2.63
Bi4 0.5364 0.1250 0.2500  2 F 2.63

SG: I-42d
Magnetic moment in μB per formula unit: 0.0

---

--- B ---
A plane-wave DFT calculation with PBE was carried out for a geometry-optimized Bi2SbF structure.

abc: 5.2077 5.2077 5.2077
angles: 60.00 60.00 60.00
Last column: nearest neighbours and their distance in Å.
Atoms (fractional coordinates):
Bi1 0.7500 0.7500 0.7500  4 F 3.19, 4 Sb 3.19
F1 0.0000 0.0000 0.0000  8 Bi 3.19
Sb1 0.5000 0.5000 0.5000  8 Bi 3.19
Bi2 0.2500 0.2500 0.2500  4 Sb 3.19, 4 F 3.19

SG: Fm-3m
Magnetic moment in μB per formula unit: 0.0

---

It comes down to A, which is 0.066 eV/atom more stable than the next structure.

---

--- A ---
A plane-wave DFT calculation with PBE was carried out for a geometry-optimized BiSb2TeF structure.

abc: 5.8667 5.8667 5.9133
angles: 90.00 90.00 90.00
Last column: nearest neighbours and their distance in Å.
Atoms (fractional coordinates):
F1 0.5000 0.5000 0.5000  4 Te 4.15, 8 Sb 4.16
Te1 0.0000 0.0000 0.5000  2 Bi 2.96
Bi1 0.0000 0.0000 0.0000  4 Sb 2.93, 2 Te 2.96
Sb1 0.5000 0.0000 0.0000  2 Bi 2.93
Sb2 0.0000 0.5000 0.0000  2 Bi 2.93

SG: P4/mmm
Magnetic moment in μB per formula unit: 0.3

---

--- B ---
A plane-wave DFT calculation with PBE was carried out for a geometry-optimized BiSb2TeF structure.

abc: 4.8039 4.8039 5.7098
angles: 90.00 90.00 90.00
Last column: nearest neighbours and their distance in Å.
Atoms (fractional coordinates):
Sb1 0.5000 0.0000 0.0000  2 F 2.40
Sb2 0.0000 0.5000 0.0000  2 F 2.40
Bi1 0.5000 0.5000 0.5000  4 Te 3.40, 8 Sb 3.73
F1 0.0000 0.0000 0.0000  4 Sb 2.40
Te1 0.0000 0.0000 0.5000  2 F 2.85

SG: P4/mmm
Magnetic moment in μB per formula unit: 0.0

---

It comes down to B, which is 0.735 eV/atom more stable than the next structure.

---

--- A ---
A plane-wave DFT calculation with PBE was carried out for a geometry-optimized ScBiF3 structure.

abc: 4.3319 4.3319 4.3319
angles: 90.00 90.00 90.00
Last column: nearest neighbours and their distance in Å.
Atoms (fractional coordinates):
Bi1 0.5000 0.5000 0.5000  12 F 3.06
Sc1 0.0000 0.0000 0.0000  6 F 2.17
F1 0.0000 0.0000 0.5000  2 Sc 2.17
F2 0.5000 0.0000 0.0000  2 Sc 2.17
F3 0.0000 0.5000 0.0000  2 Sc 2.17

SG: Pm-3m
Magnetic moment in μB per formula unit: 0.0

---

--- B ---
A plane-wave DFT calculation with PBE was carried out for a geometry-optimized ScBiF3 structure.

abc: 4.7290 4.7290 4.7290
angles: 90.00 90.00 90.00
Last column: nearest neighbours and their distance in Å.
Atoms (fractional coordinates):
Sc1 0.5000 0.5000 0.5000  12 F 3.34
F1 0.0000 0.0000 0.5000  2 Bi 2.36
F2 0.5000 0.0000 0.0000  2 Bi 2.36
F3 0.0000 0.5000 0.0000  2 Bi 2.36
Bi1 0.0000 0.0000 0.0000  6 F 2.36

SG: Pm-3m
Magnetic moment in μB per formula unit: 1.2

---

It comes down to A, which is 1.015 eV/atom more stable than the next structure.

---

--- A ---
A plane-wave DFT calculation with PBE was carried out for a geometry-optimized BiSeF3 structure.

abc: 4.6242 4.6242 4.6242
angles: 90.00 90.00 90.00
Last column: nearest neighbours and their distance in Å.
Atoms (fractional coordinates):
F1 0.0000 0.0000 0.5000  2 Bi 2.31
F2 0.5000 0.0000 0.0000  2 Bi 2.31
Bi1 0.0000 0.0000 0.0000  6 F 2.31
F3 0.0000 0.5000 0.0000  2 Bi 2.31
Se1 0.5000 0.5000 0.5000  12 F 3.27

SG: Pm-3m
Magnetic moment in μB per formula unit: 2.0

---

--- B ---
A plane-wave DFT calculation with PBE was carried out for a geometry-optimized BiSeF3 structure.

abc: 3.6384 6.2361 17.3769
angles: 90.00 114.41 90.00
Last column: nearest neighbours and their distance in Å.
Atoms (fractional coordinates):
Bi1 0.3752 0.2572 0.0629  8 F 2.31-2.51
Se1 0.6486 0.8812 0.1987  2 Se 2.44
F1 0.9692 0.6288 0.8584  2 Bi 2.31-2.32
F2 0.1262 0.9789 0.4379  3 Bi 2.47-2.51, 3 F 2.69-2.75
F3 0.6878 0.6321 0.4684  3 Bi 2.39-2.46, 2 F 2.65
Se2 0.3514 0.1188 0.8013  2 Se 2.44
F4 0.8738 0.9789 0.0621  3 Bi 2.47-2.51, 3 F 2.69-2.75
F5 0.3122 0.3679 0.5316  3 Bi 2.39-2.46, 2 F 2.65
Se3 0.6486 0.1188 0.6987  2 Se 2.44
F6 0.0308 0.6288 0.6415  2 Bi 2.31-2.32
Bi2 0.6248 0.7428 0.9371  8 F 2.31-2.51
Bi3 0.6248 0.2572 0.4371  8 F 2.31-2.51
F7 0.9692 0.3712 0.3584  2 Bi 2.31-2.32
F8 0.6878 0.3679 0.9684  3 Bi 2.39-2.46, 2 F 2.65
F9 0.1262 0.0211 0.9379  3 Bi 2.47-2.51, 3 F 2.69-2.75
Bi4 0.3752 0.7428 0.5629  8 F 2.31-2.51
F10 0.3122 0.6321 0.0316  3 Bi 2.39-2.46, 2 F 2.65
Se4 0.3514 0.8812 0.3013  2 Se 2.44
F11 0.8738 0.0211 0.5621  3 Bi 2.47-2.51, 3 F 2.69-2.75
F12 0.0308 0.3712 0.1416  2 Bi 2.31-2.32

SG: P2/c
Magnetic moment in μB per formula unit: 0.0

---

It comes down to B, which is 0.443 eV/atom more stable than the next structure.

---

--- A ---
A plane-wave DFT calculation with PBE was carried out for a geometry-optimized BiSe3F structure.

abc: 5.6274 5.6274 5.6274
angles: 90.00 90.00 90.00
Last column: nearest neighbours and their distance in Å.
Atoms (fractional coordinates):
F1 0.5000 0.5000 0.5000  12 Se 3.98
Bi1 0.0000 0.0000 0.0000  6 Se 2.81
Se1 0.0000 0.0000 0.5000  2 Bi 2.81
Se2 0.0000 0.5000 0.0000  2 Bi 2.81
Se3 0.5000 0.0000 0.0000  2 Bi 2.81

SG: Pm-3m
Magnetic moment in μB per formula unit: 3.9

---

--- B ---
A plane-wave DFT calculation with PBE was carried out for a geometry-optimized BiSe3F structure.

abc: 4.7699 4.7699 4.7699
angles: 90.00 90.00 90.00
Last column: nearest neighbours and their distance in Å.
Atoms (fractional coordinates):
Bi1 0.5000 0.5000 0.5000  12 Se 3.37
F1 0.0000 0.0000 0.0000  6 Se 2.38
Se1 0.5000 0.0000 0.0000  2 F 2.38
Se2 0.0000 0.0000 0.5000  2 F 2.38
Se3 0.0000 0.5000 0.0000  2 F 2.38

SG: Pm-3m
Magnetic moment in μB per formula unit: 0.0

---

It comes down to B, which is 0.304 eV/atom more stable than the next structure.